A plane-wave DFT calculation with PBE was carried out for crystalline Na4ReH6 at its relaxed geometry.

energy	-3.52	eV/atom
symmetry	No. 9

Cell: 5.5540 5.5540 10.7037 Å, 110.35 110.35 61.04°
With the nearest neighbours (Å) after each atom.
Atoms (fractional coordinates):
Na  0.0128  0.9872  0.5000  5 H 2.30-2.52
Na  0.3743  0.4052  0.6149  5 H 2.29-2.55
Na  0.4052  0.3743  0.1149  5 H 2.29-2.55
Na  0.5085  0.6880  0.8999  4 H 2.25-2.40
Na  0.6880  0.5085  0.3999  4 H 2.25-2.40
Na  0.6965  0.8830  0.7149  4 H 2.24-2.39
Na  0.8830  0.6965  0.2149  4 H 2.24-2.39
Na  0.9872  0.0128  0.0000  5 H 2.30-2.52
Re  0.0907  0.3009  0.8078  6 H 1.72-1.78
Re  0.3009  0.0907  0.3078  6 H 1.72-1.78
H  0.1264  0.5909  0.8070  1 Re 1.72
H  0.1999  0.4518  0.3926  1 Re 1.78
H  0.1996  0.9396  0.7224  1 Re 1.78
H  0.2579  0.8043  0.3077  1 Re 1.72
H  0.4056  0.8454  0.1603  1 Re 1.75
H  0.4518  0.1999  0.8926  1 Re 1.78
H  0.5433  0.9852  0.4557  1 Re 1.75
H  0.5909  0.1264  0.3070  1 Re 1.72
H  0.8043  0.2579  0.8077  1 Re 1.72
H  0.8454  0.4056  0.6603  1 Re 1.75
H  0.9396  0.1996  0.2224  1 Re 1.78
H  0.9852  0.5433  0.9557  1 Re 1.75



A plane-wave DFT calculation with PBE was carried out for crystalline Na2ReH6 at its relaxed geometry.

energy	-3.77	eV/atom
symmetry	No. 225

Cell: 5.3211 5.3211 5.3211 Å, 60.00 60.00 60.00°
With the nearest neighbours (Å) after each atom.
Atoms (fractional coordinates):
Na  0.2500  0.2500  0.2500  12 H 2.66
Na  0.7500  0.7500  0.7500  12 H 2.66
Re  0.0000  0.0000  0.0000  6 H 1.77
H  0.2357  0.2357  0.7643  1 Re 1.77
H  0.2357  0.7643  0.2357  1 Re 1.77
H  0.2357  0.7643  0.7643  1 Re 1.77
H  0.7643  0.2357  0.2357  1 Re 1.77
H  0.7643  0.2357  0.7643  1 Re 1.77
H  0.7643  0.7643  0.2357  1 Re 1.77



A plane-wave DFT calculation with PBE was carried out for crystalline NaReTc2H at its relaxed geometry.

energy	-6.73	eV/atom
symmetry	No. 123

Cell: 4.0503 4.0503 3.9135 Å, 90.00 90.00 90.00°
With the nearest neighbours (Å) after each atom.
Atoms (fractional coordinates):
Na  0.0000  0.0000  0.0000  8 Tc 2.82, 4 Re 2.86
Re  0.5000  0.5000  0.0000  2 H 1.96
Tc  0.0000  0.5000  0.5000  2 H 2.03
Tc  0.5000  0.0000  0.5000  2 H 2.03
H  0.5000  0.5000  0.5000  2 Re 1.96, 4 Tc 2.03



A plane-wave DFT calculation with PBE was carried out for crystalline NaRe2TcH at its relaxed geometry.

energy	-7.11	eV/atom
symmetry	No. 123

Cell: 3.9391 3.9391 4.1446 Å, 90.00 90.00 90.00°
With the nearest neighbours (Å) after each atom.
Atoms (fractional coordinates):
Na  0.0000  0.0000  0.0000  2 H 2.07
Re  0.0000  0.5000  0.5000  2 H 1.97
Re  0.5000  0.0000  0.5000  2 H 1.97
Tc  0.5000  0.5000  0.0000  4 Na 2.79, 8 Re 2.86
H  0.0000  0.0000  0.5000  4 Re 1.97, 2 Na 2.07